A relaxed SrPrHgBi crystal, computed with GGA-PBE.

Output
- DFT total energy (eV per atom) = -3.241
- volume (Å³/atom) = 31.88
- formation energy (eV per atom) = -0.580

Lattice parameters (Å, degrees): 7.990 7.990 7.990 90.00 90.00 90.00
Space group F-43m (No. 216)
Asymmetric unit:
Sr 0.000 0.000 0.000 (multiplicity 4)
Pr 0.000 0.000 0.500 (multiplicity 4)
Hg 0.250 0.250 0.750 (multiplicity 4)
Bi 0.250 0.250 0.250 (multiplicity 4)

=====

A relaxed CaMg2S3O12 crystal, computed with GGA-PBE.

Output
- formation energy without anion corrections (kJ per mole of atoms) = -196.2
- DFT total energy (eV per atom) = -6.316
- volume (Å³/atom) = 13.12

Lattice parameters (Å, degrees): 8.5817 8.5817 7.4073 90.00 90.00 120.00
Space group P6_3/m (No. 176)
Asymmetric unit:
Ca 0.0000 0.0000 0.0000 (multiplicity 2)
Mg 0.3333 0.6667 0.0460 (multiplicity 4)
S 0.0334 0.6675 0.7500 (multiplicity 6)
O 0.0205 0.1913 0.2500 (multiplicity 6)
O 0.1356 0.5126 0.2500 (multiplicity 6)
O 0.1372 0.6887 0.5847 (multiplicity 12)

=====

A relaxed LiSm2TlSe4 crystal, computed with GGA-PBE.

Output
- formation energy without anion corrections (kJ per mole of atoms) = -145.8
- DFT total energy (eV per atom) = -4.968
- volume (Å³/atom) = 28.02

Lattice parameters (Å, degrees): 4.253 14.189 14.858 90.00 90.00 90.00
Space group Cmcm (No. 63)
Asymmetric unit:
Li 0.000 0.167 0.250 (multiplicity 4)
Sm 0.000 0.366 0.562 (multiplicity 8)
Tl 0.000 0.104 0.750 (multiplicity 4)
Se 0.000 0.000 0.000 (multiplicity 4)
Se 0.000 0.265 0.110 (multiplicity 8)
Se 0.000 0.429 0.750 (multiplicity 4)

=====

A relaxed CsRb7O3 crystal, computed with GGA-PBE.

Output
- formation energy without anion corrections (kJ per mole of atoms) = -75.1
- DFT total energy (eV per atom) = -2.824
- volume (Å³/atom) = 46.30

Lattice parameters (Å, degrees): 8.5678 8.5678 8.0120 90.00 90.00 120.00
Space group P3m1 (No. 156)
Asymmetric unit:
Cs 0.0000 0.0000 0.0000 (multiplicity 1)
Rb 0.1509 0.3017 0.3847 (multiplicity 3)
Rb 0.5157 0.0314 0.0245 (multiplicity 3)
Rb 0.6667 0.3333 0.3890 (multiplicity 1)
O 0.3336 0.1668 0.2044 (multiplicity 3)

=====

A relaxed Sm3Zn2Rh3 crystal, computed with GGA-PBE.

Output
- DFT total energy (eV per atom) = -5.404
- energy above the lowest structure with this stoichiometry (eV per atom) = 0.087
- volume (Å³/atom) = 20.55
- formation energy (eV per atom) = -0.560

Lattice parameters (Å, degrees): 8.1903 8.1903 5.6609 90.00 90.00 120.00
Space group P6_3/mcm (No. 193)
Asymmetric unit:
Sm 0.0000 0.2731 0.2500 (multiplicity 6)
Zn 0.3333 0.6667 0.0000 (multiplicity 4)
Rh 0.0000 0.3962 0.7500 (multiplicity 6)

=====

A relaxed La4CdGeO crystal, computed with GGA-PBE.

Output
- formation energy without anion corrections (kJ per mole of atoms) = -106.9
- DFT total energy (eV per atom) = -5.422
- volume (Å³/atom) = 28.39

Lattice parameters (Å, degrees): 6.907 16.613 6.928 90.00 90.00 90.00
Space group Cmcm (No. 63)
Asymmetric unit:
La 0.000 0.067 0.250 (multiplicity 4)
La 0.000 0.421 0.250 (multiplicity 4)
La 0.250 0.250 0.000 (multiplicity 8)
Cd 0.000 0.388 0.750 (multiplicity 4)
Ge 0.000 0.117 0.750 (multiplicity 4)
O 0.000 0.253 0.250 (multiplicity 4)

=====

A relaxed SrPmLu2 crystal, computed with GGA-PBE.

Output
- DFT total energy (eV per atom) = -3.717
- volume (Å³/atom) = 35.46
- formation energy (eV per atom) = 0.152

Lattice parameters (Å, degrees): 3.675 3.675 10.499 90.00 90.00 90.00
Space group P4/mmm (No. 123)
Asymmetric unit:
Sr 0.000 0.000 0.000 (multiplicity 1)
Pm 0.000 0.000 0.500 (multiplicity 1)
Lu 0.500 0.500 0.278 (multiplicity 2)

=====

A relaxed ErSiPd5 crystal, computed with GGA-PBE.

Output
- formation energy without anion corrections (kJ per mole of atoms) = -50.1
- DFT total energy (eV per atom) = -5.655
- energy above the lowest structure with this stoichiometry (eV per atom) = 0.320
- volume (Å³/atom) = 17.75

Lattice parameters (Å, degrees): 8.743 6.972 9.085 90.00 116.17 90.00
Space group C2/c (No. 15)
Asymmetric unit:
Er 0.000 0.074 0.250 (multiplicity 4)
Si 0.250 0.250 0.000 (multiplicity 4)
Pd 0.000 0.345 0.750 (multiplicity 4)
Pd 0.134 0.391 0.497 (multiplicity 8)
Pd 0.223 0.356 0.244 (multiplicity 8)

=====

A relaxed ZrTaCl2 crystal, computed with GGA-PBE.

Output
- formation energy without anion corrections (kJ per mole of atoms) = -25.9
- DFT total energy (eV per atom) = -6.292
- energy above the lowest structure with this stoichiometry (eV per atom) = 0.609
- volume (Å³/atom) = 22.99

Lattice parameters (Å, degrees): 9.524 3.093 6.923 90.00 115.60 90.00
Space group Cm (No. 8)
Asymmetric unit:
Zr 0.000 0.000 0.000 (multiplicity 2)
Ta 0.207 0.000 0.780 (multiplicity 2)
Cl 0.104 0.500 0.460 (multiplicity 2)
Cl 0.263 0.500 0.107 (multiplicity 2)

=====

A relaxed TlP2WCl crystal, computed with GGA-PBE.

Output
- formation energy without anion corrections (kJ per mole of atoms) = 199.6
- DFT total energy (eV per atom) = -3.528
- energy above the lowest structure with this stoichiometry (eV per atom) = 1.974
- volume (Å³/atom) = 25.12

Lattice parameters (Å, degrees): 5.018 5.018 4.989 90.00 90.00 90.00
Space group P4/mmm (No. 123)
Asymmetric unit:
Tl 0.000 0.000 0.000 (multiplicity 1)
P 0.000 0.500 0.000 (multiplicity 2)
W 0.500 0.500 0.500 (multiplicity 1)
Cl 0.000 0.000 0.500 (multiplicity 1)

=====

A relaxed FeSiTc2 crystal, computed with GGA-PBE.

Output
- formation energy without anion corrections (kJ per mole of atoms) = -9.3
- DFT total energy (eV per atom) = -8.751
- volume (Å³/atom) = 13.34

Lattice parameters (Å, degrees): 2.794 3.745 5.100 90.00 90.00 90.00
Space group Pmm2 (No. 25)
Asymmetric unit:
Fe 0.000 0.000 0.000 (multiplicity 1)
Si 0.500 0.500 0.230 (multiplicity 1)
Tc 0.000 0.000 0.485 (multiplicity 1)
Tc 0.500 0.500 0.744 (multiplicity 1)

=====

A relaxed VCoNiPd crystal, computed with GGA-PBE.

Output
- DFT total energy (eV per atom) = -6.820
- energy above the lowest structure with this stoichiometry (eV per atom) = 0.000
- volume (Å³/atom) = 12.50
- formation energy (eV per atom) = -0.020

Lattice parameters (Å, degrees): 5.849 5.849 5.849 90.00 90.00 90.00
Space group F-43m (No. 216)
Asymmetric unit:
V 0.000 0.000 0.000 (multiplicity 4)
Co 0.250 0.250 0.750 (multiplicity 4)
Ni 0.250 0.250 0.250 (multiplicity 4)
Pd 0.000 0.000 0.500 (multiplicity 4)

=====

- Look up the DFT total energy of the sixth one.
  -5.422 eV per atom

=====

- The highest volume belongs to which entry?
  CsRb7O3

=====

- Which of these has the highest volume?
  CsRb7O3